Material: NdDyYHg
Method: DFT, GGA-PBE
State: optimized geometry

The space group is P4mm (No. 99) and the conventional cell measures 3.655, 3.655 and 8.914 Å, with angles of 90.00, 90.00 and 90.00 degrees. The distinct sites, in fractional coordinates, are Nd at (0.000, 0.000, 0.000), Dy at (0.500, 0.500, 0.282), Y at (0.500, 0.500, 0.714) and Hg at (0.000, 0.000, 0.497).

As for the total DFT energy (no corrections): -4.273 eV/atom. The relative energy among the computed polymorphs comes out at 0 meV/atom. The total magnetization is 0.00 μB/f.u. The calculation puts the theoretical density at 8.31 g/cm³.

Material: Dy5Ni2Hg2
Method: DFT, GGA-PBE
State: optimized geometry

The space group is Cmce (No. 64) and the conventional cell measures 15.810, 7.365 and 7.560 Å, with angles of 90.00, 90.00 and 90.00 degrees. The distinct sites, in fractional coordinates, are Dy at (0.000, 0.000, 0.000), Dy at (0.120, 0.174, 0.325), Ni at (0.000, 0.121, 0.622) and Hg at (0.217, 0.000, 0.000).

As for the total DFT energy (no corrections): -4.296 eV/atom. The total magnetization is 0.00 μB/f.u. The calculation puts the theoretical density at 10.04 g/cm³.

Material: Dy6NiHg2
Method: DFT, GGA-PBE
State: optimized geometry

The space group is P2_1/c (No. 14) and the conventional cell measures 6.928, 7.225 and 12.237 Å, with angles of 90.00, 123.97 and 90.00 degrees. The distinct sites, in fractional coordinates, are Dy at (0.142, 0.201, 0.453), Dy at (0.252, 0.696, 0.448), Dy at (0.356, 0.008, 0.247), Ni at (0.500, 0.000, 0.500) and Hg at (0.212, 0.082, 0.747).

As for the total DFT energy (no corrections): -4.025 eV/atom. The relative energy among the computed polymorphs comes out at 0 meV/atom. The total magnetization is 0.00 μB/f.u. The calculation puts the theoretical density at 9.38 g/cm³.

Material: Dy5NiHg
Method: DFT, GGA-PBE
State: optimized geometry

The space group is C2/c (No. 15) and the conventional cell measures 10.768, 6.788 and 11.283 Å, with angles of 90.00, 110.08 and 90.00 degrees. The distinct sites, in fractional coordinates, are Dy at (0.000, 0.013, 0.250), Dy at (0.123, 0.330, 0.548), Dy at (0.230, 0.174, 0.137), Ni at (0.000, 0.000, 0.000) and Hg at (0.000, 0.471, 0.250).

As for the total DFT energy (no corrections): -4.280 eV/atom. The total magnetization is 0.00 μB/f.u. The calculation puts the theoretical density at 9.19 g/cm³.

Material: DyNiHg2
Method: DFT, GGA-PBE
State: optimized geometry

The space group is Cmcm (No. 63) and the conventional cell measures 3.940, 10.035 and 8.300 Å, with angles of 90.00, 90.00 and 90.00 degrees. The distinct sites, in fractional coordinates, are Dy at (0.000, 0.067, 0.250), Ni at (0.000, 0.230, 0.750) and Hg at (0.000, 0.359, 0.051).

As for the total DFT energy (no corrections): -3.064 eV/atom. The total magnetization is 0.00 μB/f.u. The calculation puts the theoretical density at 12.60 g/cm³.

Material: Dy4Ni2Hg
Method: DFT, GGA-PBE
State: optimized geometry

The space group is Cc (No. 9) and the conventional cell measures 8.380, 14.739 and 6.771 Å, with angles of 90.00, 127.73 and 90.00 degrees. The distinct sites, in fractional coordinates, are Dy at (0.000, 0.030, 0.000), Dy at (0.024, 0.461, 0.865), Dy at (0.072, 0.256, 0.162), Dy at (0.255, 0.176, 0.829), Ni at (0.267, 0.090, 0.471), Ni at (0.363, 0.333, 0.151) and Hg at (0.256, 0.367, 0.673).

As for the total DFT energy (no corrections): -4.653 eV/atom. The total magnetization is 0.00 μB/f.u. The calculation puts the theoretical density at 9.72 g/cm³.

Material: Dy4Ni2Hg5
Method: DFT, GGA-PBE
State: optimized geometry

The space group is P2/m (No. 10) and the conventional cell measures 7.567, 3.574 and 9.419 Å, with angles of 90.00, 93.35 and 90.00 degrees. The distinct sites, in fractional coordinates, are Dy at (0.177, 0.000, 0.341), Dy at (0.221, 0.000, 0.937), Ni at (0.067, 0.500, 0.128), Hg at (0.165, 0.500, 0.644), Hg at (0.444, 0.500, 0.168) and Hg at (0.500, 0.500, 0.500).

As for the total DFT energy (no corrections): -3.310 eV/atom. The total magnetization is 0.00 μB/f.u. The calculation puts the theoretical density at 11.56 g/cm³.

Material: Dy5NiHg4
Method: DFT, GGA-PBE
State: optimized geometry

The space group is P4/mmm (No. 123) and the conventional cell measures 3.610, 3.610 and 18.788 Å, with angles of 90.00, 90.00 and 90.00 degrees. The distinct sites, in fractional coordinates, are Dy at (0.000, 0.000, 0.000), Dy at (0.000, 0.000, 0.207), Dy at (0.000, 0.000, 0.415), Ni at (0.500, 0.500, 0.500), Hg at (0.500, 0.500, 0.103) and Hg at (0.500, 0.500, 0.309).

As for the total DFT energy (no corrections): -3.450 eV/atom. The total magnetization is 0.01 μB/f.u. The calculation puts the theoretical density at 11.35 g/cm³.

Material: DyNi5Hg
Method: DFT, GGA-PBE
State: optimized geometry

The space group is Pnma (No. 62) and the conventional cell measures 8.102, 4.840 and 10.330 Å, with angles of 90.00, 90.00 and 90.00 degrees. The distinct sites, in fractional coordinates, are Dy at (0.247, 0.250, 0.061), Ni at (0.049, 0.750, 0.111), Ni at (0.068, 0.000, 0.314), Ni at (0.080, 0.250, 0.517), Ni at (0.188, 0.250, 0.739) and Hg at (0.136, 0.750, 0.866).

As for the total DFT energy (no corrections): -5.055 eV/atom. The total magnetization is 1.09 μB/f.u. The calculation puts the theoretical density at 10.77 g/cm³.

Material: Dy2Ni2Hg3
Method: DFT, GGA-PBE
State: optimized geometry

The space group is Cmmm (No. 65) and the conventional cell measures 3.987, 20.239 and 3.701 Å, with angles of 90.00, 90.00 and 90.00 degrees. The distinct sites, in fractional coordinates, are Dy at (0.000, 0.172, 0.000), Ni at (0.000, 0.284, 0.500), Hg at (0.000, 0.000, 0.000) and Hg at (0.000, 0.419, 0.500).

As for the total DFT energy (no corrections): -3.479 eV/atom. The total magnetization is 0.00 μB/f.u. The calculation puts the theoretical density at 11.61 g/cm³.

Material: Dy4NiHg
Method: DFT, GGA-PBE
State: optimized geometry

The space group is F-43m (No. 216) and the conventional cell measures 13.450, 13.450 and 13.450 Å, with angles of 90.00, 90.00 and 90.00 degrees. The distinct sites, in fractional coordinates, are Dy at (0.000, 0.000, 0.187), Dy at (0.061, 0.250, 0.250), Dy at (0.100, 0.100, 0.600), Ni at (0.107, 0.107, 0.393) and Hg at (0.165, 0.165, 0.835).

As for the total DFT energy (no corrections): -4.433 eV/atom. The relative energy among the computed polymorphs comes out at 0 meV/atom. The total magnetization is 0.00 μB/f.u. The calculation puts the theoretical density at 9.93 g/cm³.

Material: Dy12Ni5Hg
Method: DFT, GGA-PBE
State: optimized geometry

The space group is Immm (No. 71) and the conventional cell measures 9.340, 9.524 and 9.828 Å, with angles of 90.00, 90.00 and 90.00 degrees. The distinct sites, in fractional coordinates, are Dy at (0.000, 0.189, 0.218), Dy at (0.195, 0.500, 0.176), Dy at (0.209, 0.319, 0.500), Ni at (0.000, 0.000, 0.000), Ni at (0.000, 0.361, 0.000), Ni at (0.000, 0.500, 0.376) and Hg at (0.000, 0.000, 0.500).

As for the total DFT energy (no corrections): -5.021 eV/atom. The total magnetization is 0.00 μB/f.u. The calculation puts the theoretical density at 9.28 g/cm³.

Material: Dy2NiHg3
Method: DFT, GGA-PBE
State: optimized geometry

The space group is Pmm2 (No. 25) and the conventional cell measures 3.469, 4.737 and 8.332 Å, with angles of 90.00, 90.00 and 90.00 degrees. The distinct sites, in fractional coordinates, are Dy at (0.000, 0.000, 0.000), Dy at (0.000, 0.500, 0.432), Ni at (0.500, 0.000, 0.277), Hg at (0.500, 0.000, 0.596), Hg at (0.500, 0.500, 0.133) and Hg at (0.500, 0.500, 0.788).

As for the total DFT energy (no corrections): -3.017 eV/atom. The total magnetization is 0.00 μB/f.u. The calculation puts the theoretical density at 11.95 g/cm³.

Material: Dy5Ni2Hg
Method: DFT, GGA-PBE
State: optimized geometry

The space group is I4/mcm (No. 140) and the conventional cell measures 7.692, 7.692 and 13.114 Å, with angles of 90.00, 90.00 and 90.00 degrees. The distinct sites, in fractional coordinates, are Dy at (0.000, 0.000, 0.000), Dy at (0.160, 0.340, 0.136), Ni at (0.126, 0.374, 0.500) and Hg at (0.000, 0.000, 0.250).

As for the total DFT energy (no corrections): -4.721 eV/atom. The total magnetization is 0.00 μB/f.u. The calculation puts the theoretical density at 9.68 g/cm³.

Material: Dy4NiHg
Method: DFT, GGA-PBE
State: optimized geometry

The space group is P2_1/c (No. 14) and the conventional cell measures 6.991, 7.124 and 6.925 Å, with angles of 90.00, 95.28 and 90.00 degrees. The distinct sites, in fractional coordinates, are Dy at (0.146, 0.167, 0.188), Dy at (0.321, 0.647, 0.113), Ni at (0.000, 0.000, 0.500) and Hg at (0.500, 0.000, 0.000).

As for the total DFT energy (no corrections): -4.252 eV/atom. The relative energy among the computed polymorphs comes out at 181 meV/atom. The total magnetization is 0.00 μB/f.u. The calculation puts the theoretical density at 8.79 g/cm³.

Material: Dy6NiHg5
Method: DFT, GGA-PBE
State: optimized geometry

The space group is C2/m (No. 12) and the conventional cell measures 16.272, 7.427 and 5.172 Å, with angles of 90.00, 108.36 and 90.00 degrees. The distinct sites, in fractional coordinates, are Dy at (0.000, 0.229, 0.000), Dy at (0.158, 0.237, 0.658), Ni at (0.000, 0.000, 0.500), Hg at (0.000, 0.500, 0.500), Hg at (0.166, 0.500, 0.166) and Hg at (0.179, 0.000, 0.179).

As for the total DFT energy (no corrections): -3.361 eV/atom. The total magnetization is 0.00 μB/f.u. The calculation puts the theoretical density at 11.40 g/cm³.

Material: Dy8Ni2Hg
Method: DFT, GGA-PBE
State: optimized geometry

The space group is C2/m (No. 12) and the conventional cell measures 8.454, 13.230 and 5.416 Å, with angles of 90.00, 104.51 and 90.00 degrees. The distinct sites, in fractional coordinates, are Dy at (0.000, 0.243, 0.000), Dy at (0.113, 0.500, 0.807), Dy at (0.206, 0.129, 0.580), Ni at (0.000, 0.303, 0.500) and Hg at (0.000, 0.000, 0.000).

As for the total DFT energy (no corrections): -4.579 eV/atom. The total magnetization is 0.00 μB/f.u. The calculation puts the theoretical density at 9.16 g/cm³.

Material: DyNi2Hg
Method: DFT, GGA-PBE
State: optimized geometry

The space group is Fm-3m (No. 225) and the conventional cell measures 6.490, 6.490 and 6.490 Å, with angles of 90.00, 90.00 and 90.00 degrees. The distinct sites, in fractional coordinates, are Dy at (0.000, 0.000, 0.000), Ni at (0.250, 0.250, 0.250) and Hg at (0.000, 0.000, 0.500).

As for the total DFT energy (no corrections): -4.353 eV/atom. The total magnetization is 0.00 μB/f.u. The calculation puts the theoretical density at 11.68 g/cm³.

Material: Dy7Ni2Hg2
Method: DFT, GGA-PBE
State: optimized geometry

The space group is Cmmm (No. 65) and the conventional cell measures 7.827, 10.982 and 6.979 Å, with angles of 90.00, 90.00 and 90.00 degrees. The distinct sites, in fractional coordinates, are Dy at (0.000, 0.000, 0.000), Dy at (0.000, 0.500, 0.239), Dy at (0.250, 0.250, 0.247), Ni at (0.000, 0.295, 0.000) and Hg at (0.183, 0.000, 0.500).

As for the total DFT energy (no corrections): -4.261 eV/atom. The total magnetization is 0.00 μB/f.u. The calculation puts the theoretical density at 9.17 g/cm³.